# TaZnAsO | OQMD via LeMat-Bulk | GGA-PBE | relaxed
data_TaZnAsO
_symmetry_space_group_name_H-M 'P 1'
_symmetry_Int_Tables_number 1
_cell_length_a 4.146
_cell_length_b 5.675
_cell_length_c 5.328
_cell_angle_alpha 90.00
_cell_angle_beta 90.00
_cell_angle_gamma 90.00
loop_
_symmetry_equiv_pos_as_xyz
'x,y,z'
loop_
_atom_site_label
_atom_site_type_symbol
_atom_site_fract_x
_atom_site_fract_y
_atom_site_fract_z
_atom_site_occupancy
As1 As 0.000 0.349 0.382 1
As2 As 0.000 0.651 0.882 1
O1 O 0.500 0.824 0.421 1
O2 O 0.500 0.176 0.921 1
Ta1 Ta 0.000 0.825 0.418 1
Ta2 Ta 0.000 0.175 0.918 1
Zn1 Zn 0.500 0.814 0.033 1
Zn2 Zn 0.500 0.186 0.533 1
# Size of the total moment ... 0.003 μB per cell
# Raw total energy ... -51.162 eV/cell